Here is a geometry-optimized Zr2CrFe structure from Alexandria. Energies are from PBE-GGA.

Results
**Spin magnetization**: 0.000 μB per atom
**Final energy**: -8.76 eV per atom
**ΔH_f (0 K)**: 0.032 eV per atom

Cell and atoms, written as POSCAR:
```
Zr2CrFe
1.0
3.5643 0.0000 0.0000
0.0000 3.9495 0.0003
0.0000 1.9748 4.9675
Cr Zr Fe
1 2 1
direct
0.0000 0.6859 0.5040
0.0000 0.9754 0.9242
0.5000 0.2788 0.3174
0.5000 0.5599 0.7544
```

Here is a geometry-optimized ZrCrFe2 structure from Alexandria. Energies are from PBE-GGA.

Results
**Spin magnetization**: 0.547 μB per atom
**Energy above the most stable polymorph in this dataset**: 80 meV per atom
**Final energy**: -8.62 eV per atom
**ΔH_f (0 K)**: 0.151 eV per atom

Cell and atoms, written as POSCAR:
```
ZrCrFe2
1.0
-3.7985 -1.8239 -0.5941
-3.1728 2.2187 -1.7662
-1.3180 -0.9372 -3.9361
Fe Cr Zr
2 1 1
direct
0.7500 0.7500 0.7500
0.2500 0.2500 0.2500
0.0000 0.0000 0.0000
0.5000 0.5000 0.5000
```

Here is a geometry-optimized ZrCrFe2 structure from Alexandria. Energies are from PBE-GGA.

Results
**Spin magnetization**: 0.774 μB per atom
**Energy above the most stable polymorph in this dataset**: 190 meV per atom
**Final energy**: -8.51 eV per atom
**ΔH_f (0 K)**: 0.260 eV per atom

Cell and atoms, written as POSCAR:
```
ZrCrFe2
1.0
-4.1241 0.9253 -2.8064
1.7082 -4.5901 0.0193
-1.9769 -1.2011 1.4230
Cr Fe Zr
1 2 1
direct
0.5000 0.5000 0.0000
0.0000 0.0000 0.0000
0.5000 0.0000 0.5000
0.0000 0.5000 0.5000
```

Here is a geometry-optimized Zr2CrFe structure from Alexandria. Energies are from PBE-GGA.

Results
**Spin magnetization**: 0.110 μB per atom
**Final energy**: -8.70 eV per atom
**ΔH_f (0 K)**: 0.093 eV per atom

Cell and atoms, written as POSCAR:
```
Zr2CrFe
1.0
2.9371 0.0000 0.0000
0.0000 2.9370 0.0000
0.0000 0.0000 7.9483
Zr Cr Fe
2 1 1
direct
0.5000 0.5000 0.3026
0.0000 0.0000 0.9464
0.0000 0.0000 0.5503
0.5000 0.5000 0.7006
```

Here is a geometry-optimized ZrCrFe2 structure from Alexandria. Energies are from PBE-GGA.

Results
**Spin magnetization**: 0.001 μB per atom
**Energy above the most stable polymorph in this dataset**: 0 meV per atom
**Final energy**: -8.70 eV per atom
**ΔH_f (0 K)**: 0.070 eV per atom

Cell and atoms, written as POSCAR:
```
ZrCrFe2
1.0
-0.0314 -2.8093 -0.4312
1.5863 -0.3751 2.3285
-5.5060 -0.5018 3.6701
Fe Zr Cr
2 1 1
direct
0.0000 0.0000 0.9468
0.0000 0.0000 0.5532
0.5000 0.5000 0.2500
0.5000 0.5000 0.7500
```

Here is a geometry-optimized Zr2CrFe3 structure from Alexandria. Energies are from PBE-GGA.

Results
**Spin magnetization**: 0.559 μB per atom
**Final energy**: -8.87 eV per atom
**ΔH_f (0 K)**: -0.187 eV per atom

Cell and atoms, written as POSCAR:
```
Zr2CrFe3
1.0
-1.5945 3.8956 -2.6995
0.6010 -4.4659 -2.1680
-7.5791 -1.8777 1.7669
Zr Fe Cr
4 6 2
direct
0.6667 0.3333 0.9384
0.6667 0.3333 0.5616
0.3333 0.6667 0.0616
0.3333 0.6667 0.4384
0.1684 0.8316 0.7500
0.1684 0.3368 0.7500
0.3368 0.1684 0.2500
0.8316 0.6632 0.2500
0.6632 0.8316 0.7500
0.8316 0.1684 0.2500
0.0000 0.0000 0.0000
0.0000 0.0000 0.5000
```

Here is a geometry-optimized Zr2CrFe structure from Alexandria. Energies are from PBE-GGA.

Results
**Spin magnetization**: 0.728 μB per atom
**Final energy**: -8.32 eV per atom
**ΔH_f (0 K)**: 0.479 eV per atom

Cell and atoms, written as POSCAR:
```
Zr2CrFe
1.0
7.0708 0.0000 0.0000
0.0000 7.0708 0.0000
3.5354 3.5354 2.9033
Zr Cr Fe
4 2 2
direct
0.3750 0.3458 0.7500
0.6542 0.1250 0.2500
0.8750 0.9042 0.7500
0.0958 0.6250 0.2500
0.2500 0.7500 0.5000
0.5000 0.5000 0.0000
0.0000 0.0000 0.0000
0.7500 0.2500 0.5000
```

Here is a geometry-optimized ZrCrFe structure from Alexandria. Energies are from PBE-GGA.

Results
**Spin magnetization**: 0.317 μB per atom
**Energy above the most stable polymorph in this dataset**: 3 meV per atom
**Final energy**: -9.01 eV per atom
**ΔH_f (0 K)**: -0.135 eV per atom

Cell and atoms, written as POSCAR:
```
ZrCrFe
1.0
1.2525 4.7361 1.1686
-1.7747 -3.1228 3.5303
7.5181 -2.3975 1.6586
Zr Cr Fe
4 4 4
direct
0.3334 0.6666 0.8100
0.3334 0.6666 0.1900
0.6661 0.3339 0.6863
0.6661 0.3339 0.3137
0.9996 0.0004 0.2454
0.9996 0.0004 0.7546
0.3394 0.1691 0.0000
0.8309 0.6606 0.0000
0.8296 0.1704 0.0000
0.6661 0.8326 0.5000
0.1674 0.3339 0.5000
0.1683 0.8317 0.5000
```

Here is a geometry-optimized Zr2CrFe3 structure from Alexandria. Energies are from PBE-GGA.

Results
**Spin magnetization**: 0.411 μB per atom
**Final energy**: -8.87 eV per atom
**ΔH_f (0 K)**: -0.184 eV per atom

Cell and atoms, written as POSCAR:
```
Zr2CrFe3
1.0
4.4629 -0.1367 -2.3481
-2.8381 4.1655 -0.2102
-0.2916 0.0506 4.8619
Fe Zr Cr
3 2 1
direct
0.5000 0.5000 0.5000
0.0000 0.0000 0.5000
0.5000 0.0000 0.5000
0.2525 0.6263 0.8788
0.7475 0.3737 0.1212
0.0000 0.0000 0.0000
```

Here is a geometry-optimized ZrCrFe2 structure from Alexandria. Energies are from PBE-GGA.

Results
**Spin magnetization**: 0.604 μB per atom
**Energy above the most stable polymorph in this dataset**: 119 meV per atom
**Final energy**: -8.59 eV per atom
**ΔH_f (0 K)**: 0.189 eV per atom

Cell and atoms, written as POSCAR:
```
ZrCrFe2
1.0
3.7954 0.0000 0.0000
0.0000 2.7222 0.0141
0.0000 1.3612 5.4034
Fe Cr Zr
2 1 1
direct
0.0000 0.9809 0.9501
0.0000 0.5191 0.5499
0.5000 0.7500 0.7500
0.5000 0.2500 0.2500
```

Here is a geometry-optimized ZrCrFe2 structure from Alexandria. Energies are from PBE-GGA.

Results
**Spin magnetization**: 1.568 μB per atom
**Energy above the most stable polymorph in this dataset**: 578 meV per atom
**Final energy**: -8.13 eV per atom
**ΔH_f (0 K)**: 0.648 eV per atom

Cell and atoms, written as POSCAR:
```
ZrCrFe2
1.0
3.6710 0.0000 0.0000
0.0000 3.6710 0.0000
1.8355 1.8355 9.2253
Zr Cr Fe
2 2 4
direct
0.7500 0.2500 0.5000
0.0000 0.0000 0.0000
0.5000 0.5000 0.0000
0.2500 0.7500 0.5000
0.5967 0.1250 0.2500
0.1533 0.6250 0.2500
0.8750 0.8467 0.7500
0.3750 0.4033 0.7500
```

Here is a geometry-optimized Zr2CrFe structure from Alexandria. Energies are from PBE-GGA.

Results
**Spin magnetization**: 0.499 μB per atom
**Final energy**: -8.78 eV per atom
**ΔH_f (0 K)**: 0.019 eV per atom

Cell and atoms, written as POSCAR:
```
Zr2CrFe
1.0
3.2270 0.0000 0.0000
0.0000 3.2142 -0.0086
0.0000 3.2265 6.4624
Zr Cr Fe
2 1 1
direct
0.0000 0.0061 0.9933
0.0000 0.4939 0.5067
0.5000 0.2500 0.2500
0.5000 0.7500 0.7500
```

Here is a geometry-optimized Zr2CrFe structure from Alexandria. Energies are from PBE-GGA.

Results
**Spin magnetization**: 0.162 μB per atom
**Final energy**: -8.49 eV per atom
**ΔH_f (0 K)**: 0.310 eV per atom

Cell and atoms, written as POSCAR:
```
Zr2CrFe
1.0
4.5145 0.0000 0.0000
2.2573 3.9097 0.0000
2.2573 1.3032 3.6861
Fe Zr Cr
1 2 1
direct
0.7500 0.7500 0.7500
0.0000 0.0000 0.0000
0.2500 0.2500 0.2500
0.5000 0.5000 0.5000
```

Here is a geometry-optimized ZrCrFe2 structure from Alexandria. Energies are from PBE-GGA.

Results
**Spin magnetization**: 0.772 μB per atom
**Energy above the most stable polymorph in this dataset**: 101 meV per atom
**Final energy**: -8.60 eV per atom
**ΔH_f (0 K)**: 0.171 eV per atom

Cell and atoms, written as POSCAR:
```
ZrCrFe2
1.0
4.9782 0.0013 0.0193
4.0044 2.9576 0.0193
1.8349 0.6044 3.8276
Zr Fe Cr
1 2 1
direct
0.2500 0.2500 0.2500
0.0157 0.0157 0.9845
0.4843 0.4843 0.5155
0.7500 0.7500 0.7500
```

Here is a geometry-optimized ZrCrFe structure from Alexandria. Energies are from PBE-GGA.

Results
**Spin magnetization**: 0.139 μB per atom
**Energy above the most stable polymorph in this dataset**: 584 meV per atom
**Final energy**: -8.43 eV per atom
**ΔH_f (0 K)**: 0.445 eV per atom

Cell and atoms, written as POSCAR:
```
ZrCrFe
1.0
2.9498 0.0000 0.0000
-1.4749 2.5546 0.0000
0.0000 0.0000 6.2651
Fe Zr Cr
1 1 1
direct
0.6667 0.3333 0.3003
0.3333 0.6667 0.6658
0.0000 0.0000 0.0339
```

Here is a geometry-optimized Zr2CrFe3 structure from Alexandria. Energies are from PBE-GGA.

Results
**Spin magnetization**: 0.709 μB per atom
**Final energy**: -8.88 eV per atom
**ΔH_f (0 K)**: -0.198 eV per atom

Cell and atoms, written as POSCAR:
```
Zr2CrFe3
1.0
-2.5357 3.8306 -1.9111
-0.6622 -4.6083 -1.7552
-5.9847 -1.2274 5.4807
Fe Cr Zr
6 2 4
direct
0.6660 0.8326 0.5000
0.1674 0.3340 0.5000
0.8298 0.1702 0.0000
0.9997 0.0003 0.2478
0.9997 0.0003 0.7522
0.1672 0.8328 0.5000
0.3382 0.1700 0.0000
0.8300 0.6618 0.0000
0.3343 0.6657 0.1894
0.6666 0.3334 0.6853
0.6666 0.3334 0.3147
0.3343 0.6657 0.8106
```

Here is a geometry-optimized Zr3CrFe structure from Alexandria. Energies are from PBE-GGA.

Results
**Spin magnetization**: 0.024 μB per atom
**Energy above the most stable polymorph in this dataset**: 0 meV per atom
**Final energy**: -7.98 eV per atom
**ΔH_f (0 K)**: 0.767 eV per atom

Cell and atoms, written as POSCAR:
```
Zr3CrFe
1.0
-1.1970 -0.2587 4.5815
2.9839 -3.6410 0.5740
3.4862 3.0276 1.0818
Zr Cr Fe
3 1 1
direct
0.5000 0.0000 0.0000
0.0000 0.5000 0.0000
0.0000 0.0000 0.5000
0.5000 0.5000 0.5000
0.0000 0.0000 0.0000
```

Here is a geometry-optimized ZrCrFe2 structure from Alexandria. Energies are from PBE-GGA.

Results
**Spin magnetization**: 0.716 μB per atom
**Energy above the most stable polymorph in this dataset**: 24 meV per atom
**Final energy**: -8.68 eV per atom
**ΔH_f (0 K)**: 0.095 eV per atom

Cell and atoms, written as POSCAR:
```
ZrCrFe2
1.0
-2.1259 1.8320 -1.1325
-1.0515 -2.2716 -1.7008
-3.8660 -1.6481 4.5913
Cr Fe Zr
1 2 1
direct
0.5000 0.5000 0.7930
0.0000 0.0000 0.9980
0.5000 0.5000 0.2146
0.0000 0.0000 0.4944
```

Here is a geometry-optimized Cr3Ga4 structure from Alexandria. Energies are from PBE-GGA.

Results
**Spin magnetization**: 0.000 μB per atom
**Final energy**: -5.89 eV per atom
**ΔH_f (0 K)**: -0.035 eV per atom

Cell and atoms, written as POSCAR:
```
Cr3Ga4
1.0
6.3690 0.0103 0.0036
1.5515 6.1771 0.0036
1.5868 1.2396 7.5996
Ga Cr
12 9
direct
0.0492 0.0492 0.6476
0.6103 0.1885 0.1546
0.3897 0.8115 0.8454
0.8115 0.3897 0.8454
0.8466 0.4574 0.4422
0.4574 0.8466 0.4422
0.7146 0.7146 0.0953
0.5426 0.1534 0.5578
0.1885 0.6103 0.1546
0.1534 0.5426 0.5578
0.2854 0.2854 0.9047
0.9508 0.9508 0.3524
0.0424 0.6690 0.8549
0.7715 0.7715 0.6616
0.5043 0.5043 0.6654
0.9576 0.3310 0.1451
0.0000 0.0000 0.0000
0.6690 0.0424 0.8549
0.4957 0.4957 0.3346
0.3310 0.9576 0.1451
0.2285 0.2285 0.3384
```

Here is a geometry-optimized Cr2Ga structure from Alexandria. Energies are from PBE-GGA.

Results
**Spin magnetization**: 0.000 μB per atom
**Final energy**: -7.16 eV per atom
**ΔH_f (0 K)**: 0.261 eV per atom

Cell and atoms, written as POSCAR:
```
Cr2Ga
1.0
4.8143 0.0000 0.0000
2.4072 4.1693 0.0000
2.4072 1.3898 3.9309
Cr Ga
4 2
direct
0.6250 0.6250 0.6250
0.6250 0.6250 0.1250
0.6250 0.1250 0.6250
0.1250 0.6250 0.6250
0.2500 0.2500 0.2500
0.0000 0.0000 0.0000
```